The following is a DFT calculation (PBE) of an optimized crystal structure of Ti2NiSn2.

Values from the calculation:
crystal system	tetragonal
magnetization	0.01	μB per cell
energy relative to the elements	-0.138	eV per atom
V	18.71	A^3/atom
raw total energy	-6.05	eV/atom

```
Ti2NiSn2
1.0
6.6340 0.0000 0.0000
0.0000 6.6340 0.0000
0.0000 0.0000 4.2510
Ti Ni Sn
4 2 4
direct
0.1540 0.3460 0.0000
0.3460 0.8460 0.0000
0.6540 0.1540 0.0000
0.8460 0.6540 0.0000
0.0000 0.0000 0.5000
0.5000 0.5000 0.5000
0.1525 0.6525 0.5000
0.3475 0.1525 0.5000
0.6525 0.8475 0.5000
0.8475 0.3475 0.5000
```

The following is a DFT calculation (PBE) of an optimized crystal structure of Ti2Ni2Sn.

Values from the calculation:
crystal system	monoclinic
magnetization	0.00	μB per cell
energy relative to the elements	-0.282	eV per atom
V	16.21	A^3/atom
raw total energy	-6.55	eV/atom

```
Ti2Ni2Sn
1.0
4.1699 0.0000 0.0000
0.0000 4.1987 0.0000
-0.0074 0.0000 9.2599
Ti Ni Sn
4 4 2
direct
0.2479 0.2500 0.1784
0.2496 0.2500 0.5164
0.7504 0.7500 0.4836
0.7521 0.7500 0.8216
0.2447 0.7500 0.0097
0.2504 0.7500 0.6481
0.7496 0.2500 0.3519
0.7553 0.2500 0.9903
0.2542 0.2500 0.8267
0.7458 0.7500 0.1733
```

The following is a DFT calculation (PBE) of an optimized crystal structure of TiNiSn.

Values from the calculation:
crystal system	tetragonal
magnetization	0.00	μB per cell
energy relative to the elements	0.213	eV per atom
V	20.96	A^3/atom
raw total energy	-5.68	eV/atom

```
TiNiSn
1.0
5.5677 0.0000 0.0000
0.0000 5.5677 0.0000
0.0000 0.0000 8.1146
Ti Ni Sn
4 4 4
direct
0.0000 0.2091 0.0000
0.0000 0.7909 0.5000
0.2091 0.0000 0.7500
0.7909 0.0000 0.2500
0.1643 0.1643 0.3750
0.1643 0.8357 0.1250
0.8357 0.1643 0.6250
0.8357 0.8357 0.8750
0.1438 0.5000 0.7500
0.5000 0.1438 0.0000
0.5000 0.8562 0.5000
0.8562 0.5000 0.2500
```

The following is a DFT calculation (PBE) of an optimized crystal structure of Ti3NiSn.

Values from the calculation:
relative energy among the computed polymorphs	1.377	eV/atom
crystal system	cubic
magnetization	0.00	μB per cell
energy relative to the elements	1.370	eV per atom
V	24.55	A^3/atom
raw total energy	-5.32	eV/atom

```
Ti3NiSn
1.0
4.9695 0.0000 0.0000
0.0000 4.9695 0.0000
0.0000 0.0000 4.9695
Ti Ni Sn
3 1 1
direct
0.0000 0.0000 0.5000
0.0000 0.5000 0.0000
0.5000 0.0000 0.0000
0.5000 0.5000 0.5000
0.0000 0.0000 0.0000
```

The following is a DFT calculation (PBE) of an optimized crystal structure of Ti3NiSn.

Values from the calculation:
relative energy among the computed polymorphs	0.028	eV/atom
crystal system	monoclinic
magnetization	0.00	μB per cell
energy relative to the elements	0.021	eV per atom
V	18.41	A^3/atom
raw total energy	-6.67	eV/atom

```
Ti3NiSn
1.0
6.3154 -2.0837 0.0000
6.3154 2.0837 0.0000
-0.5316 0.0000 6.9947
Ti Ni Sn
6 2 2
direct
0.0018 0.0018 0.2823
0.1675 0.1675 0.9719
0.3222 0.3222 0.3009
0.6778 0.6778 0.6991
0.8325 0.8325 0.0281
0.9982 0.9982 0.7177
0.1580 0.1580 0.5280
0.8420 0.8420 0.4720
0.3491 0.3491 0.7402
0.6509 0.6509 0.2598
```

The following is a DFT calculation (PBE) of an optimized crystal structure of TiNiSn.

Values from the calculation:
crystal system	tetragonal
magnetization	0.75	μB per cell
energy relative to the elements	-0.295	eV per atom
V	17.01	A^3/atom
raw total energy	-6.19	eV/atom

```
TiNiSn
1.0
3.9277 0.0000 0.0000
0.0000 3.9277 0.0000
0.0000 0.0000 6.6152
Ti Ni Sn
2 2 2
direct
0.2500 0.7500 0.0000
0.7500 0.2500 0.0000
0.2500 0.2500 0.2553
0.7500 0.7500 0.7447
0.2500 0.2500 0.6537
0.7500 0.7500 0.3463
```

The following is a DFT calculation (PBE) of an optimized crystal structure of TiNi5Sn.

Values from the calculation:
crystal system	tetragonal
magnetization	0.00	μB per cell
energy relative to the elements	-0.029	eV per atom
V	13.88	A^3/atom
raw total energy	-5.86	eV/atom

```
TiNi5Sn
1.0
4.2731 0.0000 0.0000
0.0000 4.2731 0.0000
0.0000 0.0000 5.3215
Ti Ni Sn
1 5 1
direct
0.0000 0.0000 0.0000
0.0000 0.0000 0.5000
0.0000 0.5000 0.2376
0.0000 0.5000 0.7624
0.5000 0.0000 0.2376
0.5000 0.0000 0.7624
0.5000 0.5000 0.5000
```

The following is a DFT calculation (PBE) of an optimized crystal structure of Ti3Ni12Sn.

Values from the calculation:
crystal system	tetragonal
magnetization	0.00	μB per cell
energy relative to the elements	-0.404	eV per atom
V	12.06	A^3/atom
raw total energy	-6.47	eV/atom

```
Ti3Ni12Sn
1.0
3.6411 0.0000 0.0000
0.0000 3.6411 0.0000
0.0000 0.0000 14.5581
Ti Ni Sn
3 12 1
direct
0.0000 0.0000 0.0000
0.0000 0.0000 0.2468
0.0000 0.0000 0.7532
0.0000 0.5000 0.1226
0.0000 0.5000 0.3669
0.0000 0.5000 0.6331
0.0000 0.5000 0.8774
0.5000 0.0000 0.1226
0.5000 0.0000 0.3669
0.5000 0.0000 0.6331
0.5000 0.0000 0.8774
0.5000 0.5000 0.0000
0.5000 0.5000 0.2460
0.5000 0.5000 0.5000
0.5000 0.5000 0.7540
0.0000 0.0000 0.5000
```

The following is a DFT calculation (PBE) of an optimized crystal structure of TiNiSn.

Values from the calculation:
crystal system	tetragonal
magnetization	0.00	μB per cell
energy relative to the elements	-0.345	eV per atom
V	17.16	A^3/atom
raw total energy	-6.24	eV/atom

```
TiNiSn
1.0
4.0655 0.0000 0.0000
0.0000 4.0655 0.0000
0.0000 0.0000 6.2304
Ti Ni Sn
2 2 2
direct
0.2500 0.2500 0.2257
0.7500 0.7500 0.7743
0.2500 0.7500 0.5000
0.7500 0.2500 0.5000
0.2500 0.2500 0.7707
0.7500 0.7500 0.2293
```

The following is a DFT calculation (PBE) of an optimized crystal structure of TiNi12Sn3.

Values from the calculation:
crystal system	tetragonal
magnetization	0.00	μB per cell
energy relative to the elements	-0.259	eV per atom
V	12.69	A^3/atom
raw total energy	-5.84	eV/atom

```
TiNi12Sn3
1.0
3.7096 0.0000 0.0000
0.0000 3.7096 0.0000
0.0000 0.0000 14.7515
Ti Ni Sn
1 12 3
direct
0.0000 0.0000 0.0000
0.0000 0.5000 0.1171
0.0000 0.5000 0.3725
0.0000 0.5000 0.6275
0.0000 0.5000 0.8829
0.5000 0.0000 0.1171
0.5000 0.0000 0.3725
0.5000 0.0000 0.6275
0.5000 0.0000 0.8829
0.5000 0.5000 0.0000
0.5000 0.5000 0.2460
0.5000 0.5000 0.5000
0.5000 0.5000 0.7540
0.0000 0.0000 0.2454
0.0000 0.0000 0.5000
0.0000 0.0000 0.7546
```

The following is a DFT calculation (PBE) of an optimized crystal structure of TiNi14Sn.

Values from the calculation:
crystal system	tetragonal
magnetization	4.76	μB per cell
energy relative to the elements	-0.120	eV per atom
V	11.63	A^3/atom
raw total energy	-5.92	eV/atom

```
TiNi14Sn
1.0
5.1049 0.0000 0.0000
0.0000 5.1049 0.0000
0.0000 0.0000 7.1432
Ti Ni Sn
1 14 1
direct
0.0000 0.0000 0.0000
0.0000 0.0000 0.5000
0.0000 0.5000 0.0000
0.0000 0.5000 0.5000
0.2458 0.2458 0.2611
0.2458 0.2458 0.7389
0.2458 0.7542 0.2611
0.2458 0.7542 0.7389
0.5000 0.0000 0.0000
0.5000 0.0000 0.5000
0.5000 0.5000 0.5000
0.7542 0.2458 0.2611
0.7542 0.2458 0.7389
0.7542 0.7542 0.2611
0.7542 0.7542 0.7389
0.5000 0.5000 0.0000
```

The following is a DFT calculation (PBE) of an optimized crystal structure of TiNiSn.

Values from the calculation:
crystal system	orthorhombic
magnetization	0.00	μB per cell
energy relative to the elements	-0.340	eV per atom
V	16.34	A^3/atom
raw total energy	-6.23	eV/atom

```
TiNiSn
1.0
-2.0902 2.7754 4.2241
2.0902 -2.7754 4.2241
2.0902 2.7754 -4.2241
Ti Ni Sn
2 2 2
direct
0.2396 0.0000 0.2396
0.7604 0.0000 0.7604
0.1421 0.6421 0.5000
0.8579 0.3579 0.5000
0.3163 0.3163 0.0000
0.6837 0.6837 0.0000
```

The following is a DFT calculation (PBE) of an optimized crystal structure of Ti2ZnNi7Sn2.

Values from the calculation:
crystal system	tetragonal
magnetization	0.00	μB per cell
energy relative to the elements	-0.075	eV per atom
V	14.44	A^3/atom
raw total energy	-5.54	eV/atom

```
Ti2ZnNi7Sn2
1.0
-1.7063 1.7063 14.8749
1.7063 -1.7063 14.8749
1.7063 1.7063 -14.8749
Ti Zn Ni Sn
2 1 7 2
direct
0.1245 0.1245 0.0000
0.8755 0.8755 0.0000
0.5000 0.5000 0.0000
0.0000 0.0000 0.0000
0.0648 0.5648 0.5000
0.2261 0.2261 0.0000
0.4352 0.9352 0.5000
0.5648 0.0648 0.5000
0.7739 0.7739 0.0000
0.9352 0.4352 0.5000
0.3132 0.3132 0.0000
0.6868 0.6868 0.0000
```

The following is a DFT calculation (PBE) of an optimized crystal structure of Tl2NiSn2.

Values from the calculation:
crystal system	tetragonal
magnetization	0.00	μB per cell
energy relative to the elements	0.079	eV per atom
V	26.06	A^3/atom
raw total energy	-3.63	eV/atom

```
Tl2NiSn2
1.0
6.8046 0.0000 0.0000
0.0000 6.8046 0.0000
0.0000 0.0000 5.6291
Tl Ni Sn
4 2 4
direct
0.1726 0.3274 0.0000
0.3274 0.8274 0.0000
0.6726 0.1726 0.0000
0.8274 0.6726 0.0000
0.0000 0.0000 0.5000
0.5000 0.5000 0.5000
0.1587 0.6587 0.5000
0.3413 0.1587 0.5000
0.6587 0.8413 0.5000
0.8413 0.3413 0.5000
```

The following is a DFT calculation (PBE) of an optimized crystal structure of TlNiSn.

Values from the calculation:
crystal system	monoclinic
magnetization	0.00	μB per cell
energy relative to the elements	0.037	eV per atom
V	23.46	A^3/atom
raw total energy	-4.01	eV/atom

```
TlNiSn
1.0
2.5440 -2.5427 0.0000
2.5440 2.5427 0.0000
-0.0971 0.0000 10.8788
Tl Ni Sn
2 2 2
direct
0.2475 0.2475 0.3905
0.7525 0.7525 0.6095
0.2526 0.2526 0.1474
0.7474 0.7474 0.8526
0.2482 0.2482 0.8952
0.7518 0.7518 0.1048
```

The following is a DFT calculation (PBE) of an optimized crystal structure of TlNi2Sn2.

Values from the calculation:
relative energy among the computed polymorphs	0.083	eV/atom
crystal system	tetragonal
magnetization	0.00	μB per cell
energy relative to the elements	0.153	eV per atom
V	19.60	A^3/atom
raw total energy	-4.23	eV/atom

```
TlNi2Sn2
1.0
8.1291 0.0000 0.0000
0.0000 8.1291 0.0000
0.0000 0.0000 2.9667
Tl Ni Sn
2 4 4
direct
0.0000 0.0000 0.0000
0.5000 0.5000 0.0000
0.1480 0.3520 0.5000
0.3520 0.8520 0.5000
0.6480 0.1480 0.5000
0.8520 0.6480 0.5000
0.1403 0.6403 0.0000
0.3597 0.1403 0.0000
0.6403 0.8597 0.0000
0.8597 0.3597 0.0000
```

The following is a DFT calculation (PBE) of an optimized crystal structure of TlNi2Sn2.

Values from the calculation:
relative energy among the computed polymorphs	0.000	eV/atom
crystal system	tetragonal
magnetization	0.00	μB per cell
energy relative to the elements	0.070	eV per atom
V	19.24	A^3/atom
raw total energy	-4.32	eV/atom

```
TlNi2Sn2
1.0
7.6175 0.0000 0.0000
0.0000 7.6175 0.0000
0.0000 0.0000 3.3161
Tl Ni Sn
2 4 4
direct
0.0000 0.0000 0.0000
0.5000 0.5000 0.0000
0.1248 0.3752 0.0000
0.3752 0.8752 0.0000
0.6248 0.1248 0.0000
0.8752 0.6248 0.0000
0.1593 0.6593 0.5000
0.3407 0.1593 0.5000
0.6593 0.8407 0.5000
0.8407 0.3407 0.5000
```

The following is a DFT calculation (PBE) of an optimized crystal structure of TlNi2Sn2.

Values from the calculation:
relative energy among the computed polymorphs	0.075	eV/atom
crystal system	tetragonal
magnetization	0.00	μB per cell
energy relative to the elements	0.144	eV per atom
V	21.06	A^3/atom
raw total energy	-4.24	eV/atom

```
TlNi2Sn2
1.0
-2.1999 2.1999 5.4401
2.1999 -2.1999 5.4401
2.1999 2.1999 -5.4401
Tl Ni Sn
1 2 2
direct
0.0000 0.0000 0.0000
0.3846 0.3846 0.0000
0.6154 0.6154 0.0000
0.2500 0.7500 0.5000
0.7500 0.2500 0.5000
```

The following is a DFT calculation (PBE) of an optimized crystal structure of Tl3NiSn.

Values from the calculation:
relative energy among the computed polymorphs	0.000	eV/atom
crystal system	cubic
magnetization	0.00	μB per cell
energy relative to the elements	0.212	eV per atom
V	27.35	A^3/atom
raw total energy	-3.16	eV/atom

```
Tl3NiSn
1.0
5.1521 0.0000 0.0000
0.0000 5.1521 0.0000
0.0000 0.0000 5.1521
Tl Ni Sn
3 1 1
direct
0.0000 0.0000 0.5000
0.0000 0.5000 0.0000
0.5000 0.0000 0.0000
0.0000 0.0000 0.0000
0.5000 0.5000 0.5000
```

The following is a DFT calculation (PBE) of an optimized crystal structure of Tl3NiSn.

Values from the calculation:
relative energy among the computed polymorphs	0.759	eV/atom
crystal system	cubic
magnetization	0.00	μB per cell
energy relative to the elements	0.971	eV per atom
V	39.82	A^3/atom
raw total energy	-2.41	eV/atom

```
Tl3NiSn
1.0
5.8393 0.0000 0.0000
0.0000 5.8393 0.0000
0.0000 0.0000 5.8393
Tl Ni Sn
3 1 1
direct
0.0000 0.0000 0.5000
0.0000 0.5000 0.0000
0.5000 0.0000 0.0000
0.5000 0.5000 0.5000
0.0000 0.0000 0.0000
```

The following is a DFT calculation (PBE) of an optimized crystal structure of Tl2Ni2Sn.

Values from the calculation:
crystal system	tetragonal
magnetization	0.00	μB per cell
energy relative to the elements	0.214	eV per atom
V	19.51	A^3/atom
raw total energy	-3.85	eV/atom

```
Tl2Ni2Sn
1.0
6.8977 0.0000 0.0000
0.0000 6.8977 0.0000
0.0000 0.0000 4.1000
Tl Ni Sn
4 4 2
direct
0.1634 0.3366 0.0000
0.3366 0.8366 0.0000
0.6634 0.1634 0.0000
0.8366 0.6634 0.0000
0.1359 0.6359 0.5000
0.3641 0.1359 0.5000
0.6359 0.8641 0.5000
0.8641 0.3641 0.5000
0.0000 0.0000 0.5000
0.5000 0.5000 0.5000
```

The following is a DFT calculation (PBE) of an optimized crystal structure of TlNi3Sn.

Values from the calculation:
relative energy among the computed polymorphs	0.000	eV/atom
crystal system	cubic
magnetization	0.00	μB per cell
energy relative to the elements	0.825	eV per atom
V	20.97	A^3/atom
raw total energy	-3.92	eV/atom

```
TlNi3Sn
1.0
4.7155 0.0000 0.0000
0.0000 4.7155 0.0000
0.0000 0.0000 4.7155
Tl Ni Sn
1 3 1
direct
0.0000 0.0000 0.0000
0.0000 0.5000 0.5000
0.5000 0.0000 0.5000
0.5000 0.5000 0.0000
0.5000 0.5000 0.5000
```

The following is a DFT calculation (PBE) of an optimized crystal structure of TlZnNiSn2.

Values from the calculation:
relative energy among the computed polymorphs	0.000	eV/atom
crystal system	tetragonal
magnetization	0.00	μB per cell
energy relative to the elements	0.044	eV per atom
V	24.03	A^3/atom
raw total energy	-3.44	eV/atom

```
TlZnNiSn2
1.0
5.0154 0.0000 0.0000
0.0000 5.0154 0.0000
0.0000 0.0000 4.7759
Tl Zn Ni Sn
1 1 1 2
direct
0.0000 0.0000 0.0000
0.5000 0.5000 0.0000
0.5000 0.5000 0.5000
0.0000 0.5000 0.5000
0.5000 0.0000 0.5000
```

The following is a DFT calculation (PBE) of an optimized crystal structure of TlZnNiSn2.

Values from the calculation:
relative energy among the computed polymorphs	0.758	eV/atom
crystal system	tetragonal
magnetization	0.00	μB per cell
energy relative to the elements	0.803	eV per atom
V	27.73	A^3/atom
raw total energy	-2.68	eV/atom

```
TlZnNiSn2
1.0
5.1838 0.0000 0.0000
0.0000 5.1838 0.0000
0.0000 0.0000 5.1599
Tl Zn Ni Sn
1 1 1 2
direct
0.0000 0.0000 0.0000
0.0000 0.0000 0.5000
0.5000 0.5000 0.0000
0.0000 0.5000 0.5000
0.5000 0.0000 0.5000
```